1.
This record from Alexandria via LeMat-Bulk describes a relaxed HoErTm2Sb4 crystal. The functional is PBE-GGA.

Values from the calculation:
ΔE_f (raw), kJ/mol of formula units: -838
Total energy, eV for the cell shown: -43.3
Crystal system: monoclinic

abc: 4.3509 7.5296 7.5301
angles: 109.47 90.00 90.00
Closest atoms and distances in Å follow each position.
Fractional coordinates of all 8 atoms:
Sb: 0.0000 0.2489 0.7481  3 Tm 3.07, 1 Er 3.08, 2 Ho 3.08
Sb: 0.5000 0.7500 0.7485  3 Tm 3.06-3.07, 2 Er 3.08, 1 Ho 3.08
Sb: 0.5000 0.2500 0.2515  3 Tm 3.06-3.07, 2 Er 3.08, 1 Ho 3.08
Sb: 0.0000 0.7511 0.2519  3 Tm 3.07, 1 Er 3.08, 2 Ho 3.08
Tm: 0.5000 0.0000 0.5000  6 Sb 3.06-3.07
Tm: 0.0000 0.5000 0.5000  6 Sb 3.07
Er: 0.0000 0.0000 0.0000  6 Sb 3.08
Ho: 0.5000 0.5000 0.0000  6 Sb 3.08

***

2.
This record from Alexandria via LeMat-Bulk describes a relaxed Y3Ho2ErSb6 crystal. The functional is PBE-GGA.

Values from the calculation:
ΔE_f (raw), kJ/mol of formula units: -1316
Total energy, eV for the cell shown: -71.5
Crystal system: monoclinic

abc: 7.5828 7.5828 7.5787
angles: 99.59 99.59 120.00
Closest atoms and distances in Å follow each position.
Fractional coordinates of all 12 atoms:
Ho: 0.3334 0.6666 0.0000  6 Sb 3.09
Ho: 0.6666 0.3334 0.0000  6 Sb 3.09
Sb: 0.2500 0.2500 0.7519  1 Er 3.08, 2 Ho 3.09, 3 Y 3.10-3.11
Sb: 0.0826 0.4154 0.2478  1 Er 3.08, 2 Ho 3.09, 3 Y 3.10-3.11
Sb: 0.7500 0.7500 0.2481  1 Er 3.08, 2 Ho 3.09, 3 Y 3.10-3.11
Sb: 0.9174 0.5846 0.7522  1 Er 3.08, 2 Ho 3.09, 3 Y 3.10-3.11
Sb: 0.4154 0.0826 0.2478  1 Er 3.08, 2 Ho 3.09, 3 Y 3.10-3.11
Sb: 0.5846 0.9174 0.7522  1 Er 3.08, 2 Ho 3.09, 3 Y 3.10-3.11
Er: 0.0000 0.0000 0.0000  6 Sb 3.08
Y: 0.8331 0.1669 0.5000  6 Sb 3.10-3.11
Y: 0.5000 0.5000 0.5000  6 Sb 3.10-3.11
Y: 0.1669 0.8331 0.5000  6 Sb 3.10-3.11

***

3.
This record from Alexandria via LeMat-Bulk describes a relaxed Y2HoEr3Sb6 crystal. The functional is PBE-GGA.

Values from the calculation:
ΔE_f (raw), kJ/mol of formula units: -1299
Total energy, eV for the cell shown: -69.4
Crystal system: monoclinic

abc: 4.3675 8.7367 9.7668
angles: 102.87 102.92 90.00
Closest atoms and distances in Å follow each position.
Fractional coordinates of all 12 atoms:
Y: 0.1666 0.3333 0.3332  6 Sb 3.10
Y: 0.8334 0.6667 0.6668  6 Sb 3.10
Sb: 0.6660 0.5849 0.3321  3 Er 3.08, 3 Y 3.10
Sb: 0.6668 0.0815 0.3336  3 Er 3.08, 1 Ho 3.09, 2 Y 3.10
Sb: 0.3332 0.9185 0.6664  3 Er 3.08, 1 Ho 3.09, 2 Y 3.10
Sb: 0.0007 0.7497 0.0014  3 Er 3.08, 2 Ho 3.09, 1 Y 3.10
Sb: 0.3340 0.4151 0.6679  3 Er 3.08, 3 Y 3.10
Sb: 0.9993 0.2503 0.9986  3 Er 3.08, 2 Ho 3.09, 1 Y 3.10
Er: 0.5000 0.5000 0.0000  6 Sb 3.08
Er: 0.8331 0.1666 0.6663  6 Sb 3.08
Er: 0.1669 0.8334 0.3337  6 Sb 3.08
Ho: 0.5000 0.0000 0.0000  6 Sb 3.09

***

Question: ΔE_f (raw) of number 3 (Y2HoEr3Sb6)?
Answer: -1299 kJ/mol of formula units

***

Question: What is the formula in the second record?
Answer: Y3Ho2ErSb6

***

Please write out number 3 again, unchanged.
This record from Alexandria via LeMat-Bulk describes a relaxed Y2HoEr3Sb6 crystal. The functional is PBE-GGA.

Values from the calculation:
ΔE_f (raw), kJ/mol of formula units: -1299
Total energy, eV for the cell shown: -69.4
Crystal system: monoclinic

abc: 4.3675 8.7367 9.7668
angles: 102.87 102.92 90.00
Closest atoms and distances in Å follow each position.
Fractional coordinates of all 12 atoms:
Y: 0.1666 0.3333 0.3332  6 Sb 3.10
Y: 0.8334 0.6667 0.6668  6 Sb 3.10
Sb: 0.6660 0.5849 0.3321  3 Er 3.08, 3 Y 3.10
Sb: 0.6668 0.0815 0.3336  3 Er 3.08, 1 Ho 3.09, 2 Y 3.10
Sb: 0.3332 0.9185 0.6664  3 Er 3.08, 1 Ho 3.09, 2 Y 3.10
Sb: 0.0007 0.7497 0.0014  3 Er 3.08, 2 Ho 3.09, 1 Y 3.10
Sb: 0.3340 0.4151 0.6679  3 Er 3.08, 3 Y 3.10
Sb: 0.9993 0.2503 0.9986  3 Er 3.08, 2 Ho 3.09, 1 Y 3.10
Er: 0.5000 0.5000 0.0000  6 Sb 3.08
Er: 0.8331 0.1666 0.6663  6 Sb 3.08
Er: 0.1669 0.8334 0.3337  6 Sb 3.08
Ho: 0.5000 0.0000 0.0000  6 Sb 3.09